[1]
Computed, not measured: Zn2AuC after structural relaxation at the PBE level of DFT.

Values from the calculation:
* E_form: 288 kJ/mol of formula units
* uncorrected energy: -3.02 eV/atom

Cell lengths 6.694, 6.694, 6.694 Å; angles 136.65, 136.65, 62.98 degrees
Atoms (fractional coordinates):
Zn1 0.375 0.245 0.370
Zn2 0.755 0.125 0.130
Zn3 0.875 0.005 0.630
Zn4 0.995 0.625 0.870
Au1 0.250 0.750 0.500
Au2 0.500 0.500 0.000
C1 0.000 0.000 0.000
C2 0.750 0.250 0.500

=====

[2]
Computed, not measured: ZnAuC3 after structural relaxation at the PBE level of DFT.

Values from the calculation:
* E_form: 1486 kJ/mol of formula units
* uncorrected energy: -3.36 eV/atom
* energy above the most stable polymorph in this dataset: 153 meV/atom

Cell lengths 4.171, 4.171, 4.171 Å; angles 90.00, 90.00, 90.00 degrees
Atoms (fractional coordinates):
Zn1 0.000 0.000 0.000
Au1 0.500 0.500 0.500
C1 0.000 0.500 0.500
C2 0.500 0.000 0.500
C3 0.500 0.500 0.000

=====

[3]
Computed, not measured: ZnAuC after structural relaxation at the PBE level of DFT.

Values from the calculation:
* E_form: 149 kJ/mol of formula units
* uncorrected energy: -4.08 eV/atom
* energy above the most stable polymorph in this dataset: 18 meV/atom

Cell lengths 3.744, 3.235, 7.729 Å; angles 90.00, 99.63, 90.00 degrees
Atoms (fractional coordinates):
Zn1 0.000 0.000 0.000
Zn2 0.458 0.500 0.319
Au1 0.454 0.500 0.860
Au2 0.882 0.000 0.651
C1 0.071 0.000 0.264
C2 0.845 0.000 0.377

=====

[4]
Computed, not measured: ZnAuC after structural relaxation at the PBE level of DFT.

Values from the calculation:
* E_form: 165 kJ/mol of formula units
* uncorrected energy: -4.02 eV/atom
* energy above the most stable polymorph in this dataset: 75 meV/atom

Cell lengths 5.004, 3.233, 6.198 Å; angles 90.00, 102.63, 90.00 degrees
Atoms (fractional coordinates):
Zn1 0.000 0.000 0.000
Zn2 0.117 0.000 0.407
Au1 0.553 0.000 0.193
Au2 0.560 0.500 0.727
C1 0.134 0.500 0.628
C2 0.986 0.500 0.776

=====

[5]
Computed, not measured: ZnAu3C after structural relaxation at the PBE level of DFT.

Values from the calculation:
* E_form: 337 kJ/mol of formula units
* uncorrected energy: -3.37 eV/atom
* energy above the most stable polymorph in this dataset: 0 meV/atom

Cell lengths 4.360, 4.360, 4.360 Å; angles 90.00, 90.00, 90.00 degrees
Atoms (fractional coordinates):
Zn1 0.000 0.000 0.000
Au1 0.000 0.500 0.500
Au2 0.500 0.000 0.500
Au3 0.500 0.500 0.000
C1 0.500 0.500 0.500

=====

[6]
Computed, not measured: ZnAuC after structural relaxation at the PBE level of DFT.

Values from the calculation:
* E_form: 159 kJ/mol of formula units
* uncorrected energy: -4.04 eV/atom
* energy above the most stable polymorph in this dataset: 54 meV/atom

Cell lengths 3.265, 4.753, 6.528 Å; angles 82.63, 75.80, 70.70 degrees
Atoms (fractional coordinates):
Zn1 0.000 0.000 0.000
Zn2 0.452 0.399 0.670
Au1 0.618 0.517 0.208
Au2 0.820 0.951 0.402
C1 0.633 0.944 0.788
C2 0.798 0.671 0.716

=====

[7]
Computed, not measured: Zr6AuC4 after structural relaxation at the PBE level of DFT.

Values from the calculation:
* E_form: -798 kJ/mol of formula units
* uncorrected energy: -9.07 eV/atom

Cell lengths 5.900, 5.900, 17.884 Å; angles 90.00, 90.00, 146.55 degrees
Atoms (fractional coordinates):
Zr1 0.000 0.000 0.000
Zr2 0.000 0.000 0.500
Zr3 0.146 0.854 0.750
Zr4 0.275 0.725 0.077
Zr5 0.275 0.725 0.423
Zr6 0.462 0.538 0.648
Zr7 0.462 0.538 0.852
Zr8 0.538 0.462 0.148
Zr9 0.538 0.462 0.352
Zr10 0.725 0.275 0.577
Zr11 0.725 0.275 0.923
Zr12 0.854 0.146 0.250
Au1 0.162 0.838 0.250
Au2 0.838 0.162 0.750
C1 0.090 0.910 0.622
C2 0.090 0.910 0.878
C3 0.361 0.639 0.539
C4 0.361 0.639 0.961
C5 0.639 0.361 0.039
C6 0.639 0.361 0.461
C7 0.910 0.090 0.122
C8 0.910 0.090 0.378

=====

[8]
Computed, not measured: ZrAuC3 after structural relaxation at the PBE level of DFT.

Values from the calculation:
* E_form: 1161 kJ/mol of formula units
* uncorrected energy: -5.49 eV/atom
* energy above the most stable polymorph in this dataset: 46 meV/atom

Cell lengths 4.358, 4.358, 4.358 Å; angles 90.00, 90.00, 90.00 degrees
Atoms (fractional coordinates):
Zr1 0.000 0.000 0.000
Au1 0.500 0.500 0.500
C1 0.000 0.000 0.500
C2 0.000 0.500 0.000
C3 0.500 0.000 0.000